1.
VASP calculation (PBE-GGA) on a relaxed structure of CrGeH2.

Results
volume = 75.87 Å³/cell
E above lowest polymorph = 0.0 meV per atom
SG = I-42d, No. 122
total magnetization = 4.00 μB/cell
DFT total energy = -4.8894 eV per atom
calculated density = 5.54 g/cm3

Geometry as POSCAR:
```
CrGeH2
1.0
-1.831 1.831 5.658
1.831 -1.831 5.658
1.831 1.831 -5.658
Cr Ge H
2 2 4
Direct
0.000 0.000 0.000 Cr
0.750 0.250 0.500 Cr
0.250 0.750 0.500 Ge
0.500 0.500 0.000 Ge
0.375 0.240 0.365 H
0.760 0.125 0.135 H
0.875 0.010 0.635 H
0.990 0.625 0.865 H
```

2.
VASP calculation (PBE-GGA) on a relaxed structure of Cr2GeH.

Results
volume = 50.54 Å³/cell
E above lowest polymorph = 440.6 meV per atom
SG = Fm-3m, No. 225
total magnetization = 6.33 μB/cell
DFT total energy = -6.2752 eV per atom
calculated density = 5.84 g/cm3

Geometry as POSCAR:
```
Cr2GeH
1.0
0.000 2.934 2.934
2.934 0.000 2.934
2.934 2.934 0.000
Cr Ge H
2 1 1
Direct
0.250 0.250 0.250 Cr
0.750 0.750 0.750 Cr
0.000 0.000 0.000 Ge
0.500 0.500 0.500 H
```

3.
VASP calculation (PBE-GGA) on a relaxed structure of CrGeH.

Results
volume = 64.68 Å³/cell
E above lowest polymorph = 42.6 meV per atom
SG = P6_3/mmc, No. 194
total magnetization = 4.71 μB/cell
DFT total energy = -5.7524 eV per atom
calculated density = 6.45 g/cm3

Geometry as POSCAR:
```
CrGeH
1.0
3.004 0.000 0.000
-1.502 2.601 0.000
0.000 0.000 8.276
Cr Ge H
2 2 2
Direct
0.333 0.667 0.250 Cr
0.667 0.333 0.750 Cr
0.000 0.000 0.000 Ge
0.000 0.000 0.500 Ge
0.333 0.667 0.750 H
0.667 0.333 0.250 H
```

4.
VASP calculation (PBE-GGA) on a relaxed structure of CrGeH3.

Results
volume = 52.32 Å³/cell
E above lowest polymorph = 439.6 meV per atom
SG = Pm-3m, No. 221
total magnetization = 4.84 μB/cell
DFT total energy = -4.0516 eV per atom
calculated density = 4.05 g/cm3

Geometry as POSCAR:
```
CrGeH3
1.0
3.740 0.000 0.000
0.000 3.740 0.000
0.000 0.000 3.740
Cr Ge H
1 1 3
Direct
0.000 0.000 0.000 Cr
0.500 0.500 0.500 Ge
0.000 0.500 0.500 H
0.500 0.000 0.500 H
0.500 0.500 0.000 H
```